{
  "formula": "BaRuRh2",
  "functional": "GGA-PBE",
  "state": "relaxed",
  "lattice_angstrom": [[9.8942, 0.0090, 0.0053], [9.4451, 2.9471, 0.0053], [9.4451, 1.4437, 2.5692]],
  "species": ["Rh", "Ru", "Ba", "Rh"],
  "frac_coords": [[0.9864, 0.9864, 0.9864], [0.2500, 0.2500, 0.2500], [0.7500, 0.7500, 0.7500], [0.5136, 0.5136, 0.5136]],
  "relative_energy_ev_per_atom": 0.589,
  "energy_ev_per_atom": -5.73,
  "n_ef_per_ev_cell": 4.44,
  "sg": "R-3m (166)",
  "formation_energy_ev_per_fu": 2.99
}